P | The following is a DFT calculation (PBE) of a geometry-optimized CsGeRu3 structure.

Density of states at the Fermi level (states/eV/atom): 1.1240

CIF file:
```
data_CsGeRu3
_chemical_formula_sum 'Cs1 Ge1 Ru3'
_symmetry_space_group_name_H-M 'P m -3 m'
_symmetry_Int_Tables_number 221
_symmetry_space_group_name_Hall '-P 4 2 3'
_cell_length_a 4.825
_cell_length_b 4.825
_cell_length_c 4.825
_cell_angle_alpha 90.00
_cell_angle_beta 90.00
_cell_angle_gamma 90.00
loop_
_atom_site_label
_atom_site_type_symbol
_atom_site_fract_x
_atom_site_fract_y
_atom_site_fract_z
Cs1 Cs 0.000 0.000 0.000
Ge1 Ge 0.500 0.500 0.500
Ru1 Ru 0.000 0.500 0.500
```



Q | The following is a DFT calculation (PBE) of a geometry-optimized CsGeRu3 structure.

Density of states at the Fermi level (states/eV/atom): 1.7987

CIF file:
```
data_CsGeRu3
_chemical_formula_sum 'Cs1 Ge1 Ru3'
_symmetry_space_group_name_H-M 'P m -3 m'
_symmetry_Int_Tables_number 221
_symmetry_space_group_name_Hall '-P 4 2 3'
_cell_length_a 4.943
_cell_length_b 4.943
_cell_length_c 4.943
_cell_angle_alpha 90.00
_cell_angle_beta 90.00
_cell_angle_gamma 90.00
loop_
_atom_site_label
_atom_site_type_symbol
_atom_site_fract_x
_atom_site_fract_y
_atom_site_fract_z
Cs1 Cs 0.000 0.000 0.000
Ge1 Ge 0.500 0.500 0.500
Ru1 Ru 0.000 0.000 0.500
```



Stability, lowest: Q



P | The following is a DFT calculation (PBE) of a geometry-optimized Cs3GeSb2 structure.

Density of states at the Fermi level (states/eV/atom): 0.3292

CIF file:
```
data_Cs3GeSb2
_chemical_formula_sum 'Cs12 Ge4 Sb8'
_symmetry_space_group_name_H-M 'C 1 2/m 1'
_symmetry_Int_Tables_number 12
_symmetry_space_group_name_Hall '-C 2y'
_cell_length_a 21.519
_cell_length_b 5.105
_cell_length_c 14.134
_cell_angle_alpha 90.00
_cell_angle_beta 120.50
_cell_angle_gamma 90.00
loop_
_atom_site_label
_atom_site_type_symbol
_atom_site_fract_x
_atom_site_fract_y
_atom_site_fract_z
Cs1 Cs 0.051 0.000 0.261
Cs2 Cs 0.160 0.500 0.991
Cs3 Cs 0.215 0.000 0.613
Ge1 Ge 0.072 0.500 0.655
Sb1 Sb 0.077 0.500 0.464
Sb2 Sb 0.127 0.000 0.772
```



Q | The following is a DFT calculation (PBE) of a geometry-optimized Cs3GeSb2 structure.

Density of states at the Fermi level (states/eV/atom): 0.6091

CIF file:
```
data_Cs3GeSb2
_chemical_formula_sum 'Cs12 Ge4 Sb8'
_symmetry_space_group_name_H-M 'P n m a'
_symmetry_Int_Tables_number 62
_symmetry_space_group_name_Hall '-P 2ac 2n'
_cell_length_a 14.747
_cell_length_b 5.148
_cell_length_c 15.507
_cell_angle_alpha 90.00
_cell_angle_beta 90.00
_cell_angle_gamma 90.00
loop_
_atom_site_label
_atom_site_type_symbol
_atom_site_fract_x
_atom_site_fract_y
_atom_site_fract_z
Cs1 Cs 0.081 0.250 0.113
Cs2 Cs 0.115 0.750 0.563
Cs3 Cs 0.165 0.250 0.797
Ge1 Ge 0.148 0.250 0.366
Sb1 Sb 0.081 0.750 0.320
Sb2 Sb 0.212 0.750 0.970
```



Stability, lowest: P



P | The following is a DFT calculation (PBE) of a geometry-optimized Cs2Ge2Sb structure.

Density of states at the Fermi level (states/eV/atom): 0.9087

CIF file:
```
data_Cs2Ge2Sb
_chemical_formula_sum 'Cs4 Ge4 Sb2'
_symmetry_space_group_name_H-M 'P 4/m b m'
_symmetry_Int_Tables_number 127
_symmetry_space_group_name_Hall '-P 4 2ab'
_cell_length_a 10.996
_cell_length_b 10.996
_cell_length_c 3.370
_cell_angle_alpha 90.00
_cell_angle_beta 90.00
_cell_angle_gamma 90.00
loop_
_atom_site_label
_atom_site_type_symbol
_atom_site_fract_x
_atom_site_fract_y
_atom_site_fract_z
Cs1 Cs 0.217 0.283 0.000
Ge1 Ge 0.075 0.575 0.500
Sb1 Sb 0.000 0.000 0.500
```



Q | The following is a DFT calculation (PBE) of a geometry-optimized Cs2Ge2Sb structure.

Density of states at the Fermi level (states/eV/atom): 0.6175

CIF file:
```
data_Cs2Ge2Sb
_chemical_formula_sum 'Cs8 Ge8 Sb4'
_symmetry_space_group_name_H-M 'C 1 2/m 1'
_symmetry_Int_Tables_number 12
_symmetry_space_group_name_Hall '-C 2y'
_cell_length_a 8.115
_cell_length_b 14.310
_cell_length_c 8.604
_cell_angle_alpha 90.00
_cell_angle_beta 113.29
_cell_angle_gamma 90.00
loop_
_atom_site_label
_atom_site_type_symbol
_atom_site_fract_x
_atom_site_fract_y
_atom_site_fract_z
Cs1 Cs 0.203 0.144 0.276
Ge1 Ge 0.136 0.500 0.303
Ge2 Ge 0.216 0.000 0.901
Sb1 Sb 0.000 0.373 0.000
```



Stability, lowest: P



P | The following is a DFT calculation (PBE) of a geometry-optimized CsScGe structure.

Density of states at the Fermi level (states/eV/atom): 0.0000

CIF file:
```
data_CsScGe
_chemical_formula_sum 'Cs4 Sc4 Ge4'
_symmetry_space_group_name_H-M 'P n m a'
_symmetry_Int_Tables_number 62
_symmetry_space_group_name_Hall '-P 2ac 2n'
_cell_length_a 8.960
_cell_length_b 5.070
_cell_length_c 8.206
_cell_angle_alpha 90.00
_cell_angle_beta 90.00
_cell_angle_gamma 90.00
loop_
_atom_site_label
_atom_site_type_symbol
_atom_site_fract_x
_atom_site_fract_y
_atom_site_fract_z
Cs1 Cs 0.013 0.250 0.148
Sc1 Sc 0.134 0.750 0.429
Ge1 Ge 0.170 0.250 0.611
```



Q | The following is a DFT calculation (PBE) of a geometry-optimized CsScGe structure.

Density of states at the Fermi level (states/eV/atom): 0.0000

CIF file:
```
data_CsScGe
_chemical_formula_sum 'Cs4 Sc4 Ge4'
_symmetry_space_group_name_H-M 'P n m a'
_symmetry_Int_Tables_number 62
_symmetry_space_group_name_Hall '-P 2ac 2n'
_cell_length_a 11.306
_cell_length_b 4.902
_cell_length_c 9.595
_cell_angle_alpha 90.00
_cell_angle_beta 90.00
_cell_angle_gamma 90.00
loop_
_atom_site_label
_atom_site_type_symbol
_atom_site_fract_x
_atom_site_fract_y
_atom_site_fract_z
Cs1 Cs 0.180 0.250 0.029
Sc1 Sc 0.024 0.250 0.395
Ge1 Ge 0.048 0.250 0.676
```



Stability, lowest: Q